# ThMgCuPt

A geometry-optimized ThMgCuPt structure (PBE, Alexandria).

The structure in extended XYZ format:
```
4
Lattice="0.000 3.447 3.447 3.447 0.000 3.447 3.447 3.447 0.000" Properties=species:S:1:pos:R:3 pbc="T T T"
Th 0.000 0.000 0.000
Mg 3.447 3.447 3.447
Cu 1.723 1.723 1.723
Pt 5.170 5.170 5.170
```

## Properties
As for the symmetry: F-43m. The total energy is -21.55 eV per cell. The value obtained for the formation energy from the elements is -0.60 eV per atom. Its density is 10.44 g cm⁻³.